(1)
Zr2CdGa, optimized geometry, DFT PBE; Fermi-level density of states = 5.3 states/eV per cell; symmetry = P4/mmm
1.0
-1.986 -1.878 -1.443
2.314 -1.937 -0.665
-1.372 -4.137 7.274
Ga Zr Cd
1 2 1
direct
0.500 0.500 0.000
0.000 0.000 0.770
0.000 0.000 0.230
0.500 0.500 0.500

=====

(2)
ZrCdGa3, optimized geometry, DFT PBE; Fermi-level density of states = 4.9 states/eV per cell; symmetry = Pm-3m
1.0
5.278 0.000 0.000
0.000 5.278 0.000
0.000 0.000 5.278
Ga Zr Cd
3 1 1
direct
0.000 0.500 0.000
0.000 0.000 0.500
0.500 0.000 0.000
0.000 0.000 0.000
0.500 0.500 0.500

=====

(3)
Zr3CdGa, optimized geometry, DFT PBE; Fermi-level density of states = 4.1 states/eV per cell; symmetry = Pm-3m
1.0
5.031 0.000 0.000
0.000 5.031 0.000
0.000 0.000 5.031
Ga Zr Cd
1 3 1
direct
0.000 0.000 0.000
0.000 0.500 0.000
0.000 0.000 0.500
0.500 0.000 0.000
0.500 0.500 0.500

=====

(4)
ZrCdGa3, optimized geometry, DFT PBE; Fermi-level density of states = 3.5 states/eV per cell; symmetry = Pm-3m
1.0
-4.259 -0.157 2.545
-1.423 -3.965 -2.625
2.116 -2.982 3.357
Ga Zr Cd
3 1 1
direct
0.000 0.500 0.000
0.000 0.000 0.500
0.500 0.000 0.000
0.500 0.500 0.500
0.000 0.000 0.000

=====

(5)
Zr2CdGa, optimized geometry, DFT PBE; Fermi-level density of states = 6.2 states/eV per cell; symmetry = I-42d
1.0
-1.211 -7.242 -2.582
4.257 1.545 -6.330
3.898 -3.738 -3.076
Ga Zr Cd
2 4 2
direct
0.500 0.500 0.000
0.250 0.750 0.500
0.612 0.125 0.250
0.138 0.625 0.250
0.375 0.388 0.750
0.875 0.862 0.750
0.000 0.000 0.000
0.750 0.250 0.500

=====

(6)
ZrCdGa, optimized geometry, DFT PBE; Fermi-level density of states = 2.6 states/eV per cell; symmetry = P4/nmm
1.0
3.180 0.000 0.000
0.000 3.180 0.000
0.000 0.000 11.786
Cd Zr Ga
2 2 2
direct
0.000 0.500 0.588
0.500 0.000 0.412
0.000 0.500 0.225
0.500 0.000 0.775
0.500 0.000 0.067
0.000 0.500 0.933

=====

| no. | DFT formation energy (eV/atom) |
| --- | --- |
| 1 | -0.34 |
| 2 | 0.55 |
| 3 | 0.34 |
| 4 | 0.72 |
| 5 | 0.04 |
| 6 | -0.24 |